Below is a geometry-optimized VIN2O structure, with properties calculated at the GGA+U level.

Computed properties:
DOS(E_F) ... 1.512 states/eV/cell
Crystal system ... tetragonal
Space-group type ... No. 123
Energy ... -0.2991 Ry/atom

Cell lengths 4.050, 4.050, 4.233 Å; angles 90.00, 90.00, 90.00 degrees
Fractional positions:
N: 0.500 0.000 0.000
V: 0.500 0.500 0.500
N: 0.000 0.500 0.000
I: 0.000 0.000 0.500
O: 0.000 0.000 0.000



Below is a geometry-optimized VIN2O structure, with properties calculated at the GGA+U level.

Computed properties:
DOS(E_F) ... 2.869 states/eV/cell
Crystal system ... tetragonal
Space-group type ... No. 123
Energy ... -0.4027 Ry/atom

Cell lengths 4.084, 4.084, 3.670 Å; angles 90.00, 90.00, 90.00 degrees
Fractional positions:
O: 0.000 0.000 0.500
N: 0.000 0.500 0.000
N: 0.500 0.000 0.000
I: 0.500 0.500 0.500
V: 0.000 0.000 0.000



Below is a geometry-optimized VI2NO structure, with properties calculated at the GGA+U level.

Computed properties:
DOS(E_F) ... 6.600 states/eV/cell
Energy above the lowest structure with this stoichiometry ... 1.209 eV/atom
Crystal system ... tetragonal
Space-group type ... No. 123
Energy ... -0.2262 Ry/atom

Cell lengths 4.968, 4.968, 3.961 Å; angles 90.00, 90.00, 90.00 degrees
Fractional positions:
O: 0.000 0.000 0.000
V: 0.500 0.500 0.500
I: 0.000 0.500 0.000
N: 0.000 0.000 0.500
I: 0.500 0.000 0.000



Below is a geometry-optimized VI2NO structure, with properties calculated at the GGA+U level.

Computed properties:
DOS(E_F) ... 3.168 states/eV/cell
Energy above the lowest structure with this stoichiometry ... 0.911 eV/atom
Crystal system ... tetragonal
Space-group type ... No. 123
Energy ... -0.2481 Ry/atom

Cell lengths 5.062, 5.062, 3.770 Å; angles 90.00, 90.00, 90.00 degrees
Fractional positions:
N: 0.000 0.000 0.000
I: 0.500 0.000 0.000
I: 0.000 0.500 0.000
V: 0.500 0.500 0.500
O: 0.000 0.000 0.500



Below is a geometry-optimized VI2NO structure, with properties calculated at the GGA+U level.

Computed properties:
DOS(E_F) ... 2.006 states/eV/cell
Energy above the lowest structure with this stoichiometry ... 0.000 eV/atom
Crystal system ... tetragonal
Space-group type ... No. 123
Energy ... -0.3151 Ry/atom

Cell lengths 5.760, 5.760, 3.656 Å; angles 90.00, 90.00, 90.00 degrees
Fractional positions:
I: 0.500 0.000 0.000
I: 0.000 0.500 0.000
O: 0.000 0.000 0.500
N: 0.500 0.500 0.500
V: 0.000 0.000 0.000



Below is a geometry-optimized WINO2 structure, with properties calculated at the GGA+U level.

Computed properties:
DOS(E_F) ... 0.144 states/eV/cell
Crystal system ... tetragonal
Space-group type ... No. 123
Energy ... -0.3254 Ry/atom

Cell lengths 3.992, 3.992, 4.633 Å; angles 90.00, 90.00, 90.00 degrees
Fractional positions:
I: 0.000 0.000 0.000
O: 0.000 0.500 0.000
N: 0.000 0.000 0.500
W: 0.500 0.500 0.500
O: 0.500 0.000 0.000



Below is a geometry-optimized WIN2O structure, with properties calculated at the GGA+U level.

Computed properties:
DOS(E_F) ... 2.300 states/eV/cell
Crystal system ... tetragonal
Space-group type ... No. 123
Energy ... -0.2795 Ry/atom

Cell lengths 4.198, 4.198, 4.091 Å; angles 90.00, 90.00, 90.00 degrees
Fractional positions:
O: 0.000 0.000 0.000
N: 0.000 0.500 0.000
I: 0.000 0.000 0.500
N: 0.500 0.000 0.000
W: 0.500 0.500 0.500



Below is a geometry-optimized WIN2O structure, with properties calculated at the GGA+U level.

Computed properties:
DOS(E_F) ... 2.655 states/eV/cell
Crystal system ... tetragonal
Space-group type ... No. 123
Energy ... -0.3806 Ry/atom

Cell lengths 3.839, 3.839, 5.966 Å; angles 90.00, 90.00, 90.00 degrees
Fractional positions:
N: 0.500 0.000 0.000
I: 0.000 0.000 0.500
N: 0.000 0.500 0.000
O: 0.500 0.500 0.500
W: 0.000 0.000 0.000



Below is a geometry-optimized WIN2O structure, with properties calculated at the GGA+U level.

Computed properties:
DOS(E_F) ... 1.780 states/eV/cell
Crystal system ... tetragonal
Space-group type ... No. 123
Energy ... -0.3241 Ry/atom

Cell lengths 4.221, 4.221, 3.950 Å; angles 90.00, 90.00, 90.00 degrees
Fractional positions:
W: 0.500 0.500 0.500
N: 0.500 0.000 0.000
O: 0.000 0.000 0.500
N: 0.000 0.500 0.000
I: 0.000 0.000 0.000



Below is a geometry-optimized WINO2 structure, with properties calculated at the GGA+U level.

Computed properties:
DOS(E_F) ... 3.915 states/eV/cell
Crystal system ... tetragonal
Space-group type ... No. 123
Energy ... -0.3894 Ry/atom

Cell lengths 3.769, 3.769, 5.982 Å; angles 90.00, 90.00, 90.00 degrees
Fractional positions:
N: 0.500 0.500 0.500
O: 0.000 0.500 0.000
W: 0.000 0.000 0.000
O: 0.500 0.000 0.000
I: 0.000 0.000 0.500



Below is a geometry-optimized WIN2O structure, with properties calculated at the GGA+U level.

Computed properties:
DOS(E_F) ... 3.542 states/eV/cell
Crystal system ... tetragonal
Space-group type ... No. 123
Energy ... -0.4141 Ry/atom

Cell lengths 4.158, 4.158, 3.914 Å; angles 90.00, 90.00, 90.00 degrees
Fractional positions:
O: 0.000 0.000 0.500
W: 0.000 0.000 0.000
I: 0.500 0.500 0.500
N: 0.500 0.000 0.000
N: 0.000 0.500 0.000



Below is a geometry-optimized WINO2 structure, with properties calculated at the GGA+U level.

Computed properties:
DOS(E_F) ... 2.627 states/eV/cell
Crystal system ... tetragonal
Space-group type ... No. 123
Energy ... -0.4121 Ry/atom

Cell lengths 3.901, 3.901, 4.531 Å; angles 90.00, 90.00, 90.00 degrees
Fractional positions:
N: 0.000 0.000 0.500
W: 0.000 0.000 0.000
I: 0.500 0.500 0.500
O: 0.500 0.000 0.000
O: 0.000 0.500 0.000